Record 1
## LiB2Pt4 (PBE-GGA)

Data for a relaxed LiB2Pt4 crystal.

Density ... 14597 kg/m3
Spin magnetization ... 0.00 Bohr magnetons per cell
Formation energy ... -0.35 eV per atom

Lattice parameters (Å, degrees): 8.7640 6.3401 7.2988 90.00 114.83 90.00
Closest atoms and distances in Å follow each position.
Space group C2 (No. 5)
Asymmetric unit:
Li 0.0000 0.0000 0.0000 [2 per cell]  2 B 2.68, 4 Pt 2.82
Li 0.0000 0.3714 0.5000 [2 per cell]  6 Pt 2.44-2.73, 2 B 2.46
B 0.1330 0.6801 0.4233 [4 per cell]  5 Pt 2.09-2.30
B 0.1968 0.4534 0.0028 [4 per cell]  4 Pt 2.08-2.26
Pt 0.0645 0.4211 0.2082 [4 per cell]  3 B 2.17-2.26
Pt 0.1374 0.0096 0.4248 [4 per cell]  2 B 2.09-2.14
Pt 0.1494 0.7067 0.7452 [4 per cell]  4 B 2.26-2.37
Pt 0.2267 0.2219 0.8170 [4 per cell]  2 B 2.08-2.09

***

Record 2
## InNiSn3 (PBE-GGA)

Data for a relaxed InNiSn3 crystal.

Density ... 6803 kg/m3
Energy above the most stable polymorph in this dataset ... 116 meV per atom
Spin magnetization ... 0.00 Bohr magnetons per cell
Formation energy ... 0.07 eV per atom

Lattice parameters (Å, degrees): 5.0564 5.0564 5.0564 90.00 90.00 90.00
Closest atoms and distances in Å follow each position.
Space group Pm-3m (No. 221)
Asymmetric unit:
In 0.0000 0.0000 0.0000 [1 per cell]  12 Sn 3.58
Ni 0.5000 0.5000 0.5000 [1 per cell]  6 Sn 2.53
Sn 0.0000 0.5000 0.5000 [3 per cell]  2 Ni 2.53

***

- What is the spin magnetization in the second record?
  0.00 Bohr magnetons per cell

***

- Among the records above, which one has the highest density?
  LiB2Pt4

***

- The highest density belongs to which entry?
  LiB2Pt4